1.
First-principles (PBE-GGA) data for an optimized crystal structure of V2CoSbH, as listed in Alexandria via LeMat-Bulk.

abc: 4.399 4.610 4.399
angles: 90.00 90.00 90.00
Each line ends with the local moment (μB).
Fractional positions:
Sb  0.000  0.500  0.000  0.00
Co  0.000  0.000  0.000  0.00
V  0.500  0.000  0.000  -0.11
H  0.500  0.500  0.500  0.02
V  0.000  0.000  0.500  -0.06

Computed properties:
Energy relative to the lowest polymorph listed for this composition   30.62 kcal/mol of atoms

2.
First-principles (PBE-GGA) data for an optimized crystal structure of V2CoSbH, as listed in Alexandria via LeMat-Bulk.

abc: 3.747 4.184 3.747
angles: 90.00 90.00 90.00
Fractional positions:
H  0.000  0.000  0.000
Co  0.000  0.500  0.000
V  0.000  0.000  0.500
V  0.500  0.000  0.000
Sb  0.500  0.500  0.500

Computed properties:
Energy relative to the lowest polymorph listed for this composition   0.00 kcal/mol of atoms

3.
First-principles (PBE-GGA) data for an optimized crystal structure of Y2CoSbH, as listed in Alexandria via LeMat-Bulk.

abc: 4.918 4.918 3.841
angles: 90.00 90.00 90.00
Each line ends with the local moment (μB).
Fractional positions:
Y  0.000  0.500  0.000  -0.03
Y  0.500  0.000  0.000  -0.03
Sb  0.500  0.500  0.500  0.02
H  0.000  0.000  0.000  0.00
Co  0.000  0.000  0.500  1.09

Computed properties:
VASP energy   -5.95 eV per atom

| no. | calculated volume (Å³/atom) |
| --- | --- |
| 1 | 17.8 |
| 2 | 11.8 |
| 3 | 18.6 |